Version one
## Nd3Y3Ho (PBE-GGA)

Data for an optimized crystal structure of Nd3Y3Ho.

abc: 6.264 6.264 14.912
angles: 77.88 77.88 60.00
Fractional coordinates of all 14 atoms:
1 Nd 0.200 0.869 0.393
2 Nd 0.538 0.200 0.393
3 Nd 0.869 0.538 0.393
4 Nd 0.131 0.462 0.607
5 Nd 0.462 0.800 0.607
6 Nd 0.800 0.131 0.607
7 Y 0.936 0.269 0.193
8 Y 0.602 0.936 0.193
9 Y 0.269 0.602 0.193
10 Y 0.731 0.398 0.807
11 Y 0.398 0.064 0.807
12 Y 0.064 0.731 0.807
13 Ho 0.667 0.667 0.000
14 Ho 0.333 0.333 0.000

space-group type = No. 148
Fermi-level density of states = 11.4 states/eV/f.u.

=====

Version two
## Nd3Y3Ho (PBE-GGA)

Data for an optimized crystal structure of Nd3Y3Ho.

abc: 8.798 8.798 8.836
angles: 60.14 60.14 60.00
Fractional coordinates of all 14 atoms:
1 Nd 0.182 0.706 0.175
2 Nd 0.937 0.182 0.175
3 Nd 0.706 0.937 0.175
4 Nd 0.294 0.063 0.825
5 Nd 0.063 0.818 0.825
6 Nd 0.818 0.294 0.825
7 Y 0.569 0.726 0.644
8 Y 0.726 0.061 0.644
9 Y 0.061 0.569 0.644
10 Y 0.939 0.431 0.356
11 Y 0.274 0.939 0.356
12 Y 0.431 0.274 0.356
13 Ho 0.351 0.351 0.946
14 Ho 0.649 0.649 0.054

space-group type = No. 148
Fermi-level density of states = 11.5 states/eV/f.u.

=====

Taking the most stable structure as the zero point, the relative energies in meV/atom are version one 0; version two 77.

=====

Version one
## Nd7Y3Ho (PBE-GGA)

Data for an optimized crystal structure of Nd7Y3Ho.

abc: 10.327 10.325 12.641
angles: 114.38 65.64 138.98
Fractional coordinates of all 22 atoms:
1 Nd 0.163 0.844 0.225
2 Nd 0.156 0.837 0.725
3 Nd 0.086 0.420 0.527
4 Nd 0.084 0.419 0.028
5 Nd 0.579 0.913 0.027
6 Nd 0.581 0.916 0.528
7 Nd 0.284 0.284 0.750
8 Nd 0.716 0.716 0.250
9 Nd 0.421 0.087 0.973
10 Nd 0.419 0.084 0.472
11 Nd 0.916 0.581 0.972
12 Nd 0.914 0.580 0.473
13 Nd 0.844 0.163 0.275
14 Nd 0.837 0.156 0.775
15 Y 0.329 0.668 0.774
16 Y 0.000 0.000 0.000
17 Y 0.000 0.000 0.500
18 Y 0.331 0.671 0.274
19 Y 0.669 0.329 0.726
20 Y 0.671 0.332 0.226
21 Ho 0.500 0.500 0.000
22 Ho 0.500 0.500 0.500

space-group type = No. 15
Fermi-level density of states = 17.4 states/eV/f.u.

=====

Version two
## Nd7Y3Ho (PBE-GGA)

Data for an optimized crystal structure of Nd7Y3Ho.

abc: 5.931 8.608 8.608
angles: 82.95 110.20 110.20
Fractional coordinates of all 11 atoms:
1 Nd 0.213 0.211 0.211
2 Nd 0.307 0.017 0.596
3 Nd 0.693 0.404 0.983
4 Nd 0.307 0.596 0.017
5 Nd 0.000 0.500 0.500
6 Nd 0.693 0.983 0.404
7 Nd 0.787 0.789 0.789
8 Y 0.000 0.796 0.204
9 Y 0.500 0.000 0.000
10 Y 0.000 0.204 0.796
11 Ho 0.500 0.500 0.500

space-group type = No. 12
Fermi-level density of states = 15.0 states/eV/f.u.

=====

Taking the most stable structure as the zero point, the relative energies in meV/atom are version one 0; version two 44.

=====

Version one
## Nd7Y2Ho2 (PBE-GGA)

Data for an optimized crystal structure of Nd7Y2Ho2.

abc: 6.143 8.159 8.159
angles: 90.00 74.57 74.57
Fractional coordinates of all 11 atoms:
1 Nd 0.179 0.050 0.587
2 Nd 0.821 0.413 0.950
3 Nd 0.821 0.950 0.413
4 Nd 0.179 0.587 0.050
5 Nd 0.000 0.000 0.000
6 Nd 0.801 0.424 0.424
7 Nd 0.199 0.576 0.576
8 Y 0.500 0.787 0.213
9 Y 0.500 0.213 0.787
10 Ho 0.588 0.769 0.769
11 Ho 0.412 0.231 0.231

space-group type = No. 12
Fermi-level density of states = 15.8 states/eV/f.u.

=====

Version two
## Nd7Y2Ho2 (PBE-GGA)

Data for an optimized crystal structure of Nd7Y2Ho2.

abc: 6.111 8.176 8.176
angles: 88.86 74.41 74.41
Fractional coordinates of all 11 atoms:
1 Nd 0.176 0.046 0.590
2 Nd 0.824 0.410 0.954
3 Nd 0.824 0.954 0.410
4 Nd 0.176 0.590 0.046
5 Nd 0.000 0.000 0.000
6 Nd 0.601 0.766 0.766
7 Nd 0.399 0.234 0.234
8 Y 0.500 0.218 0.782
9 Y 0.500 0.782 0.218
10 Ho 0.799 0.422 0.422
11 Ho 0.201 0.578 0.578

space-group type = No. 12
Fermi-level density of states = 14.9 states/eV/f.u.

=====

Taking the most stable structure as the zero point, the relative energies in meV/atom are version one 0; version two 7.

=====

Version one
## NdY3Ho5 (PBE-GGA)

Data for an optimized crystal structure of NdY3Ho5.

abc: 6.977 9.734 9.735
angles: 120.00 90.00 90.00
Fractional coordinates of all 18 atoms:
1 Nd 0.000 0.000 0.000
2 Nd 0.500 0.000 0.000
3 Y 0.750 0.338 0.338
4 Y 0.750 0.000 0.662
5 Y 0.750 0.662 0.000
6 Y 0.250 0.662 0.662
7 Y 0.250 0.000 0.338
8 Y 0.250 0.338 0.000
9 Ho 0.000 0.667 0.333
10 Ho 0.500 0.333 0.667
11 Ho 0.000 0.333 0.667
12 Ho 0.500 0.667 0.333
13 Ho 0.750 0.668 0.668
14 Ho 0.750 0.000 0.332
15 Ho 0.750 0.332 0.000
16 Ho 0.250 0.332 0.332
17 Ho 0.250 0.000 0.668
18 Ho 0.250 0.668 0.000

space-group type = No. 193
Fermi-level density of states = 15.1 states/eV/f.u.

=====

Version two
## NdY3Ho5 (PBE-GGA)

Data for an optimized crystal structure of NdY3Ho5.

abc: 10.007 10.007 11.381
angles: 67.74 67.74 35.28
Fractional coordinates of all 18 atoms:
1 Nd 0.943 0.057 0.750
2 Nd 0.057 0.943 0.250
3 Y 0.000 0.000 0.000
4 Y 0.057 0.590 0.362
5 Y 0.000 0.000 0.500
6 Y 0.943 0.410 0.638
7 Y 0.590 0.057 0.862
8 Y 0.410 0.943 0.138
9 Ho 0.443 0.557 0.750
10 Ho 0.913 0.424 0.972
11 Ho 0.579 0.094 0.197
12 Ho 0.087 0.576 0.028
13 Ho 0.906 0.421 0.303
14 Ho 0.557 0.443 0.250
15 Ho 0.424 0.913 0.472
16 Ho 0.576 0.087 0.528
17 Ho 0.094 0.579 0.697
18 Ho 0.421 0.906 0.803

space-group type = No. 15
Fermi-level density of states = 14.1 states/eV/f.u.

=====

Taking the most stable structure as the zero point, the relative energies in meV/atom are version one 0; version two 267.

=====

Version one
## NdY2Ho7 (PBE-GGA)

Data for an optimized crystal structure of NdY2Ho7.

abc: 6.150 9.384 9.387
angles: 141.76 109.01 77.46
Fractional coordinates of all 10 atoms:
1 Nd 0.000 0.000 0.000
2 Y 0.499 0.900 0.600
3 Y 0.501 0.100 0.400
4 Ho 0.999 0.599 0.398
5 Ho 0.001 0.401 0.602
6 Ho 0.500 0.698 0.799
7 Ho 0.500 0.302 0.201
8 Ho 0.999 0.799 0.199
9 Ho 0.001 0.201 0.801
10 Ho 0.500 0.500 0.000

space-group type = No. 2
Fermi-level density of states = 14.5 states/eV/f.u.

=====

Version two
## NdY2Ho7 (PBE-GGA)

Data for an optimized crystal structure of NdY2Ho7.

abc: 5.276 9.603 9.603
angles: 126.71 90.00 90.00
Fractional coordinates of all 10 atoms:
1 Nd 0.000 0.000 0.000
2 Y 0.500 0.703 0.297
3 Y 0.500 0.297 0.703
4 Ho 0.000 0.802 0.198
5 Ho 0.000 0.198 0.802
6 Ho 0.500 0.069 0.288
7 Ho 0.500 0.931 0.712
8 Ho 0.500 0.288 0.069
9 Ho 0.500 0.712 0.931
10 Ho 0.500 0.500 0.500

space-group type = No. 65
Fermi-level density of states = 15.7 states/eV/f.u.

=====

Taking the most stable structure as the zero point, the relative energies in meV/atom are version one 0; version two 690.

=====

Version one
## Nd3YHo3 (PBE-GGA)

Data for an optimized crystal structure of Nd3YHo3.

abc: 5.775 9.660 9.659
angles: 120.01 90.00 90.00
Fractional coordinates of all 14 atoms:
1 Nd 0.750 0.758 0.805
2 Nd 0.750 0.047 0.242
3 Nd 0.750 0.196 0.953
4 Nd 0.250 0.242 0.195
5 Nd 0.250 0.953 0.758
6 Nd 0.250 0.804 0.047
7 Y 0.750 0.333 0.667
8 Y 0.250 0.667 0.333
9 Ho 0.250 0.522 0.617
10 Ho 0.250 0.095 0.478
11 Ho 0.250 0.383 0.905
12 Ho 0.750 0.478 0.383
13 Ho 0.750 0.905 0.522
14 Ho 0.750 0.617 0.095

space-group type = No. 176
Fermi-level density of states = 12.2 states/eV/f.u.

=====

Version two
## Nd3YHo3 (PBE-GGA)

Data for an optimized crystal structure of Nd3YHo3.

abc: 8.860 8.860 8.860
angles: 58.85 58.85 58.85
Fractional coordinates of all 14 atoms:
1 Nd 0.705 0.178 0.937
2 Nd 0.178 0.937 0.705
3 Nd 0.937 0.705 0.178
4 Nd 0.063 0.295 0.822
5 Nd 0.822 0.063 0.295
6 Nd 0.295 0.822 0.063
7 Y 0.349 0.349 0.349
8 Y 0.651 0.651 0.651
9 Ho 0.725 0.572 0.062
10 Ho 0.062 0.725 0.572
11 Ho 0.572 0.062 0.725
12 Ho 0.428 0.938 0.275
13 Ho 0.938 0.275 0.428
14 Ho 0.275 0.428 0.938

space-group type = No. 148
Fermi-level density of states = 10.9 states/eV/f.u.

=====

Taking the most stable structure as the zero point, the relative energies in meV/atom are version one 0; version two 229.

=====

Version one
## NdY8Ho2 (PBE-GGA)

Data for an optimized crystal structure of NdY8Ho2.

abc: 5.894 7.598 9.321
angles: 111.72 105.53 96.83
Fractional coordinates of all 11 atoms:
1 Nd 0.500 0.000 0.000
2 Y 0.159 0.339 0.240
3 Y 0.919 0.099 0.760
4 Y 0.721 0.430 0.000
5 Y 0.706 0.206 0.412
6 Y 0.294 0.794 0.588
7 Y 0.279 0.570 0.000
8 Y 0.081 0.901 0.240
9 Y 0.841 0.661 0.760
10 Ho 0.692 0.692 0.384
11 Ho 0.308 0.308 0.616

space-group type = No. 12
Fermi-level density of states = 18.5 states/eV/f.u.

=====

Version two
## NdY8Ho2 (PBE-GGA)

Data for an optimized crystal structure of NdY8Ho2.

abc: 5.568 10.214 10.214
angles: 39.94 92.74 92.74
Fractional coordinates of all 11 atoms:
1 Nd 0.000 0.000 0.000
2 Y 0.269 0.132 0.600
3 Y 0.269 0.600 0.132
4 Y 0.731 0.868 0.400
5 Y 0.237 0.547 0.547
6 Y 0.731 0.400 0.868
7 Y 0.233 0.189 0.189
8 Y 0.767 0.811 0.811
9 Y 0.763 0.453 0.453
10 Ho 0.751 0.284 0.284
11 Ho 0.249 0.716 0.716

space-group type = No. 12
Fermi-level density of states = 19.5 states/eV/f.u.

=====

Taking the most stable structure as the zero point, the relative energies in meV/atom are version one 15; version two 0.

=====

Version one
## Nd3Y2Ho2 (PBE-GGA)

Data for an optimized crystal structure of Nd3Y2Ho2.

abc: 3.535 8.596 8.994
angles: 118.11 101.33 90.00
Fractional coordinates of all 7 atoms:
1 Nd 0.000 0.500 0.000
2 Nd 0.213 0.800 0.426
3 Nd 0.787 0.200 0.574
4 Y 0.856 0.678 0.713
5 Y 0.144 0.322 0.287
6 Ho 0.565 0.909 0.129
7 Ho 0.435 0.091 0.871

space-group type = No. 12
Fermi-level density of states = 11.3 states/eV/f.u.

=====

Version two
## Nd3Y2Ho2 (PBE-GGA)

Data for an optimized crystal structure of Nd3Y2Ho2.

abc: 3.608 11.939 6.246
angles: 69.73 73.19 98.69
Fractional coordinates of all 7 atoms:
1 Nd 0.000 0.000 0.000
2 Nd 0.572 0.430 0.286
3 Nd 0.428 0.570 0.714
4 Y 0.857 0.142 0.428
5 Y 0.143 0.858 0.572
6 Ho 0.712 0.284 0.860
7 Ho 0.288 0.716 0.140

space-group type = No. 12
Fermi-level density of states = 9.1 states/eV/f.u.

=====

Taking the most stable structure as the zero point, the relative energies in meV/atom are version one 89; version two 0.

=====

Version one
## NdY3Ho (PBE-GGA)

Data for an optimized crystal structure of NdY3Ho.

abc: 3.628 8.556 11.703
angles: 90.00 90.00 102.20
Fractional coordinates of all 10 atoms:
1 Nd 0.001 0.508 0.250
2 Nd 0.999 0.492 0.750
3 Y 0.845 0.189 0.001
4 Y 0.155 0.811 0.999
5 Y 0.845 0.189 0.499
6 Y 0.155 0.811 0.501
7 Y 0.676 0.853 0.250
8 Y 0.324 0.147 0.750
9 Ho 0.334 0.171 0.250
10 Ho 0.666 0.829 0.750

space-group type = No. 11
Fermi-level density of states = 8.0 states/eV/f.u.

=====

Version two
## NdY3Ho (PBE-GGA)

Data for an optimized crystal structure of NdY3Ho.

abc: 5.698 9.679 6.337
angles: 70.87 90.00 90.00
Fractional coordinates of all 10 atoms:
1 Nd 0.250 0.800 0.434
2 Nd 0.750 0.200 0.566
3 Y 0.750 0.600 0.366
4 Y 0.250 0.400 0.634
5 Y 0.750 0.400 0.968
6 Y 0.250 0.999 0.835
7 Y 0.250 0.600 0.032
8 Y 0.750 0.001 0.165
9 Ho 0.250 0.201 0.234
10 Ho 0.750 0.799 0.766

space-group type = No. 11
Fermi-level density of states = 8.5 states/eV/f.u.

=====

Taking the most stable structure as the zero point, the relative energies in meV/atom are version one 285; version two 0.

=====

Version one
## Nd2Y5Ho4 (PBE-GGA)

Data for an optimized crystal structure of Nd2Y5Ho4.

abc: 6.685 8.938 10.292
angles: 39.84 71.05 68.04
Fractional coordinates of all 11 atoms:
1 Nd 0.202 0.893 0.703
2 Nd 0.798 0.107 0.297
3 Y 0.173 0.270 0.908
4 Y 0.827 0.730 0.092
5 Y 0.000 0.500 0.500
6 Y 0.648 0.270 0.908
7 Y 0.352 0.730 0.092
8 Ho 0.413 0.769 0.405
9 Ho 0.587 0.231 0.595
10 Ho 0.756 0.685 0.803
11 Ho 0.244 0.315 0.197

space-group type = No. 12
Fermi-level density of states = 17.0 states/eV/f.u.

=====

Version two
## Nd2Y5Ho4 (PBE-GGA)

Data for an optimized crystal structure of Nd2Y5Ho4.

abc: 3.472 8.758 12.079
angles: 96.19 98.26 90.00
Fractional coordinates of all 11 atoms:
1 Nd 0.908 0.259 0.816
2 Nd 0.092 0.741 0.184
3 Y 0.141 0.122 0.281
4 Y 0.859 0.878 0.719
5 Y 0.233 0.823 0.466
6 Y 0.500 0.000 0.000
7 Y 0.767 0.177 0.534
8 Ho 0.677 0.473 0.354
9 Ho 0.046 0.362 0.091
10 Ho 0.323 0.527 0.646
11 Ho 0.954 0.638 0.909

space-group type = No. 12
Fermi-level density of states = 21.9 states/eV/f.u.

=====

Taking the most stable structure as the zero point, the relative energies in meV/atom are version one 11; version two 0.